A plane-wave DFT calculation with PBE was carried out for an optimized crystal structure of Sb3PtI.

The space group is Pm-3m (No. 221) and the conventional cell measures 5.3543, 5.3543 and 5.3543 Å, with angles of 90.00, 90.00 and 90.00 degrees. Symmetry generates all atoms from Sb at (0.0000, 0.0000, 0.5000), Pt at (0.0000, 0.0000, 0.0000) and I at (0.5000, 0.5000, 0.5000).

Its crystal system is cubic. The formation energy without anion corrections is 0.361 eV per atom.

A plane-wave DFT calculation with PBE was carried out for an optimized crystal structure of SbPt2I.

The space group is Fm-3m (No. 225) and the conventional cell measures 6.9365, 6.9365 and 6.9365 Å, with angles of 90.00, 90.00 and 90.00 degrees. Symmetry generates all atoms from Sb at (0.0000, 0.0000, 0.0000), Pt at (0.2500, 0.2500, 0.2500) and I at (0.0000, 0.0000, 0.5000).

Its crystal system is cubic. The formation energy without anion corrections is 0.359 eV per atom.

A plane-wave DFT calculation with PBE was carried out for an optimized crystal structure of SbPtI.

The space group is P2_1/c (No. 14) and the conventional cell measures 7.2426, 6.7136 and 7.6345 Å, with angles of 90.00, 113.25 and 90.00 degrees. Symmetry generates all atoms from Sb at (0.1499, 0.1016, 0.3956), Pt at (0.2120, 0.0470, 0.7630) and I at (0.3599, 0.6537, 0.6162).

Its crystal system is monoclinic. The formation energy without anion corrections is -0.162 eV per atom.